The following is a DFT calculation (PBE-GGA) of Sc2CdAs after structural relaxation. Values from VASP.

Summary:
Excess energy over the best structure of this formula in the dataset (meV/atom): 734
Space group: No. 216

The structure in Quantum ESPRESSO input format:
```
&SYSTEM
  ibrav = 0, nat = 16, ntyp = 3
/
ATOMIC_SPECIES
Sc 44.96 Sc.upf
Cd 112.41 Cd.upf
As 74.92 As.upf
ATOMIC_POSITIONS crystal
Sc 0.000 0.000 0.000
Sc 0.000 0.500 0.500
Sc 0.250 0.250 0.250
Sc 0.250 0.750 0.750
Sc 0.500 0.000 0.500
Sc 0.500 0.500 0.000
Sc 0.750 0.250 0.750
Sc 0.750 0.750 0.250
Cd 0.000 0.000 0.500
Cd 0.000 0.500 0.000
Cd 0.500 0.000 0.000
Cd 0.500 0.500 0.500
As 0.250 0.250 0.750
As 0.250 0.750 0.250
As 0.750 0.250 0.250
As 0.750 0.750 0.750
CELL_PARAMETERS angstrom
7.045 0.000 0.000
0.000 7.045 0.000
0.000 0.000 7.045
```

=====

The following is a DFT calculation (PBE-GGA) of Sc3CdAs after structural relaxation. Values from VASP.

Summary:
Excess energy over the best structure of this formula in the dataset (meV/atom): 739
Space group: No. 221

The structure in Quantum ESPRESSO input format:
```
&SYSTEM
  ibrav = 0, nat = 5, ntyp = 3
/
ATOMIC_SPECIES
Sc 44.96 Sc.upf
Cd 112.41 Cd.upf
As 74.92 As.upf
ATOMIC_POSITIONS crystal
Sc 0.000 0.000 0.500
Sc 0.000 0.500 0.000
Sc 0.500 0.000 0.000
Cd 0.000 0.000 0.000
As 0.500 0.500 0.500
CELL_PARAMETERS angstrom
5.193 0.000 0.000
0.000 5.193 0.000
0.000 0.000 5.193
```

=====

The following is a DFT calculation (PBE-GGA) of Sc3CdAs after structural relaxation. Values from VASP.

Summary:
Excess energy over the best structure of this formula in the dataset (meV/atom): 0
Space group: No. 221

The structure in Quantum ESPRESSO input format:
```
&SYSTEM
  ibrav = 0, nat = 5, ntyp = 3
/
ATOMIC_SPECIES
Sc 44.96 Sc.upf
Cd 112.41 Cd.upf
As 74.92 As.upf
ATOMIC_POSITIONS crystal
Sc 0.000 0.000 0.500
Sc 0.000 0.500 0.000
Sc 0.500 0.000 0.000
Cd 0.500 0.500 0.500
As 0.000 0.000 0.000
CELL_PARAMETERS angstrom
5.035 0.000 0.000
0.000 5.035 0.000
0.000 0.000 5.035
```

=====

The following is a DFT calculation (PBE-GGA) of Sc2CdAs after structural relaxation. Values from VASP.

Summary:
Excess energy over the best structure of this formula in the dataset (meV/atom): 163
Space group: No. 44

The structure in Quantum ESPRESSO input format:
```
&SYSTEM
  ibrav = 0, nat = 8, ntyp = 3
/
ATOMIC_SPECIES
Sc 44.96 Sc.upf
Cd 112.41 Cd.upf
As 74.92 As.upf
ATOMIC_POSITIONS crystal
Sc 0.000 0.000 0.000
Sc 0.000 0.500 0.244
Sc 0.500 0.000 0.744
Sc 0.500 0.500 0.500
Cd 0.000 0.000 0.485
Cd 0.500 0.500 0.985
As 0.000 0.500 0.746
As 0.500 0.000 0.246
CELL_PARAMETERS angstrom
3.880 0.000 0.000
0.000 4.222 0.000
0.000 0.000 10.181
```

=====

The following is a DFT calculation (PBE-GGA) of Sc2CdAs2 after structural relaxation. Values from VASP.

Summary:
Space group: No. 127

The structure in Quantum ESPRESSO input format:
```
&SYSTEM
  ibrav = 0, nat = 10, ntyp = 3
/
ATOMIC_SPECIES
Sc 44.96 Sc.upf
Cd 112.41 Cd.upf
As 74.92 As.upf
ATOMIC_POSITIONS crystal
Sc 0.144 0.356 0.000
Sc 0.356 0.856 0.000
Sc 0.644 0.144 0.000
Sc 0.856 0.644 0.000
Cd 0.000 0.000 0.000
Cd 0.500 0.500 0.000
As 0.157 0.657 0.500
As 0.343 0.157 0.500
As 0.657 0.843 0.500
As 0.843 0.343 0.500
CELL_PARAMETERS angstrom
7.671 0.000 0.000
0.000 7.671 0.000
0.000 0.000 3.534
```

=====

The following is a DFT calculation (PBE-GGA) of ScCdAs4 after structural relaxation. Values from VASP.

Summary:
Space group: No. 216

The structure in Quantum ESPRESSO input format:
```
&SYSTEM
  ibrav = 0, nat = 6, ntyp = 3
/
ATOMIC_SPECIES
Sc 44.96 Sc.upf
Cd 112.41 Cd.upf
As 74.92 As.upf
ATOMIC_POSITIONS crystal
Sc 0.000 0.000 0.000
Cd 0.250 0.250 0.250
As 0.127 0.624 0.624
As 0.624 0.127 0.624
As 0.624 0.624 0.127
As 0.624 0.624 0.624
CELL_PARAMETERS angstrom
0.000 3.967 3.967
3.967 0.000 3.967
3.967 3.967 0.000
```

=====

The following is a DFT calculation (PBE-GGA) of Sc2CdAs after structural relaxation. Values from VASP.

Summary:
Excess energy over the best structure of this formula in the dataset (meV/atom): 580
Space group: No. 160

The structure in Quantum ESPRESSO input format:
```
&SYSTEM
  ibrav = 0, nat = 12, ntyp = 3
/
ATOMIC_SPECIES
Sc 44.96 Sc.upf
Cd 112.41 Cd.upf
As 74.92 As.upf
ATOMIC_POSITIONS crystal
Sc 0.000 0.000 0.000
Sc 0.000 0.000 0.245
Sc 0.333 0.667 0.667
Sc 0.333 0.667 0.912
Sc 0.667 0.333 0.333
Sc 0.667 0.333 0.578
Cd 0.000 0.000 0.754
Cd 0.333 0.667 0.420
Cd 0.667 0.333 0.087
As 0.000 0.000 0.504
As 0.333 0.667 0.171
As 0.667 0.333 0.838
CELL_PARAMETERS angstrom
3.269 0.000 0.000
-1.635 2.831 0.000
0.000 0.000 29.148
```

=====

The following is a DFT calculation (PBE-GGA) of Sc2CdAs after structural relaxation. Values from VASP.

Summary:
Excess energy over the best structure of this formula in the dataset (meV/atom): 293
Space group: No. 122

The structure in Quantum ESPRESSO input format:
```
&SYSTEM
  ibrav = 0, nat = 16, ntyp = 3
/
ATOMIC_SPECIES
Sc 44.96 Sc.upf
Cd 112.41 Cd.upf
As 74.92 As.upf
ATOMIC_POSITIONS crystal
Sc 0.221 0.250 0.125
Sc 0.250 0.721 0.375
Sc 0.250 0.779 0.875
Sc 0.279 0.250 0.625
Sc 0.721 0.750 0.625
Sc 0.750 0.221 0.875
Sc 0.750 0.279 0.375
Sc 0.779 0.750 0.125
Cd 0.000 0.000 0.500
Cd 0.000 0.500 0.750
Cd 0.500 0.000 0.250
Cd 0.500 0.500 0.000
As 0.000 0.000 0.000
As 0.000 0.500 0.250
As 0.500 0.000 0.750
As 0.500 0.500 0.500
CELL_PARAMETERS angstrom
7.526 0.000 0.000
0.000 7.526 0.000
0.000 0.000 6.519
```

=====

The following is a DFT calculation (PBE-GGA) of Sc4CdAs after structural relaxation. Values from VASP.

Summary:
Space group: No. 216

The structure in Quantum ESPRESSO input format:
```
&SYSTEM
  ibrav = 0, nat = 6, ntyp = 3
/
ATOMIC_SPECIES
Sc 44.96 Sc.upf
Cd 112.41 Cd.upf
As 74.92 As.upf
ATOMIC_POSITIONS crystal
Sc 0.125 0.125 0.125
Sc 0.125 0.125 0.625
Sc 0.125 0.625 0.125
Sc 0.625 0.125 0.125
Cd 0.500 0.500 0.500
As 0.750 0.750 0.750
CELL_PARAMETERS angstrom
0.000 4.106 4.106
4.106 0.000 4.106
4.106 4.106 0.000
```

=====

The following is a DFT calculation (PBE-GGA) of Sc2CdAs after structural relaxation. Values from VASP.

Summary:
Excess energy over the best structure of this formula in the dataset (meV/atom): 0
Space group: No. 166

The structure in Quantum ESPRESSO input format:
```
&SYSTEM
  ibrav = 0, nat = 12, ntyp = 3
/
ATOMIC_SPECIES
Sc 44.96 Sc.upf
Cd 112.41 Cd.upf
As 74.92 As.upf
ATOMIC_POSITIONS crystal
Sc 0.000 0.000 0.235
Sc 0.000 0.000 0.765
Sc 0.333 0.667 0.431
Sc 0.333 0.667 0.902
Sc 0.667 0.333 0.098
Sc 0.667 0.333 0.569
Cd 0.000 0.000 0.000
Cd 0.333 0.667 0.667
Cd 0.667 0.333 0.333
As 0.000 0.000 0.500
As 0.333 0.667 0.167
As 0.667 0.333 0.833
CELL_PARAMETERS angstrom
3.722 0.000 0.000
-1.861 3.223 0.000
0.000 0.000 22.936
```

=====

The following is a DFT calculation (PBE-GGA) of Sc2Cd2As after structural relaxation. Values from VASP.

Summary:
Excess energy over the best structure of this formula in the dataset (meV/atom): 200
Space group: No. 127

The structure in Quantum ESPRESSO input format:
```
&SYSTEM
  ibrav = 0, nat = 10, ntyp = 3
/
ATOMIC_SPECIES
Sc 44.96 Sc.upf
Cd 112.41 Cd.upf
As 74.92 As.upf
ATOMIC_POSITIONS crystal
Sc 0.164 0.336 0.000
Sc 0.336 0.836 0.000
Sc 0.664 0.164 0.000
Sc 0.836 0.664 0.000
Cd 0.135 0.635 0.500
Cd 0.365 0.135 0.500
Cd 0.635 0.865 0.500
Cd 0.865 0.365 0.500
As 0.000 0.000 0.500
As 0.500 0.500 0.500
CELL_PARAMETERS angstrom
7.197 0.000 0.000
0.000 7.197 0.000
0.000 0.000 4.340
```

=====

The following is a DFT calculation (PBE-GGA) of Sc2CdAs2 after structural relaxation. Values from VASP.

Summary:
Space group: No. 139

The structure in Quantum ESPRESSO input format:
```
&SYSTEM
  ibrav = 0, nat = 10, ntyp = 3
/
ATOMIC_SPECIES
Sc 44.96 Sc.upf
Cd 112.41 Cd.upf
As 74.92 As.upf
ATOMIC_POSITIONS crystal
Sc 0.000 0.500 0.250
Sc 0.000 0.500 0.750
Sc 0.500 0.000 0.250
Sc 0.500 0.000 0.750
Cd 0.000 0.000 0.000
Cd 0.500 0.500 0.500
As 0.000 0.000 0.370
As 0.000 0.000 0.630
As 0.500 0.500 0.130
As 0.500 0.500 0.870
CELL_PARAMETERS angstrom
4.788 0.000 0.000
0.000 4.788 0.000
0.000 0.000 10.283
```

=====

Number 1: volume 21.853 A^3/atom, VASP energy -4.5383 eV/atom. Number 2: volume 28.005 A^3/atom, VASP energy -4.5674 eV/atom. Number 3: volume 25.534 A^3/atom, VASP energy -5.3059 eV/atom. Number 4: volume 20.849 A^3/atom, VASP energy -5.1096 eV/atom. Number 5: volume 20.794 A^3/atom, VASP energy -5.3306 eV/atom. Number 6: volume 20.816 A^3/atom, VASP energy -4.2542 eV/atom. Number 7: volume 22.485 A^3/atom, VASP energy -4.6928 eV/atom. Number 8: volume 23.074 A^3/atom, VASP energy -4.9792 eV/atom. Number 9: volume 23.075 A^3/atom, VASP energy -4.9860 eV/atom. Number 10: volume 22.934 A^3/atom, VASP energy -5.2724 eV/atom. Number 11: volume 22.482 A^3/atom, VASP energy -4.0345 eV/atom. Number 12: volume 23.579 A^3/atom, VASP energy -5.2258 eV/atom.